Entry 1
## AcDyRh2 (PBE-GGA)

Data for a relaxed structure of AcDyRh2.

Computed properties:
density = 10.8 g cm⁻³
density of states at the Fermi level = 16.5 states/eV per cell

```
AcDyRh2
1.0
7.150 0.000 0.000
0.000 7.150 0.000
0.000 0.000 7.150
Ac Dy Rh
4 4 8
Cartesian
0.000 0.000 0.000
0.000 3.575 3.575
3.575 0.000 3.575
3.575 3.575 0.000
0.000 0.000 3.575
0.000 3.575 0.000
3.575 0.000 0.000
3.575 3.575 3.575
1.787 1.787 1.787
1.787 1.787 5.362
1.787 5.362 1.787
1.787 5.362 5.362
5.362 1.787 1.787
5.362 1.787 5.362
5.362 5.362 1.787
5.362 5.362 5.362
```

***

Entry 2
## AcDyRh2 (PBE-GGA)

Data for a relaxed structure of AcDyRh2.

Computed properties:
density = 10.9 g cm⁻³
density of states at the Fermi level = 3.3 states/eV per cell

```
AcDyRh2
1.0
3.540 0.000 0.000
0.000 3.540 0.000
0.000 0.000 7.250
Ac Dy Rh
1 1 2
Cartesian
0.000 0.000 0.000
0.000 0.000 3.625
1.770 1.770 2.018
1.770 1.770 5.232
```

***

Stability check: which of them is least stable? entry 1.

***

Entry 1
## AcDyRh2 (PBE-GGA)

Data for a relaxed structure of AcDyRh2.

Computed properties:
density = 10.1 g cm⁻³
density of states at the Fermi level = 5.6 states/eV per cell

```
AcDyRh2
1.0
4.517 0.000 0.000
-2.259 3.912 0.000
0.000 0.000 16.544
Ac Dy Rh
3 3 6
Cartesian
0.000 0.000 0.000
0.000 2.608 11.029
2.259 1.304 5.515
0.000 0.000 8.272
0.000 2.608 2.757
2.259 1.304 13.786
0.000 0.000 3.682
0.000 0.000 12.861
0.000 2.608 7.347
0.000 2.608 14.711
2.259 1.304 1.832
2.259 1.304 9.197
```

***

Entry 2
## AcDyRh2 (PBE-GGA)

Data for a relaxed structure of AcDyRh2.

Computed properties:
density = 9.9 g cm⁻³
density of states at the Fermi level = 2.0 states/eV per cell

```
AcDyRh2
1.0
5.319 0.000 0.000
0.000 5.319 0.000
0.000 0.000 3.513
Ac Dy Rh
1 1 2
Cartesian
0.000 0.000 0.000
2.660 2.660 1.756
0.000 2.660 1.756
2.660 0.000 1.756
```

***

Stability check: which of them is least stable? entry 2.

***

Entry 1
## AcDyRu (PBE-GGA)

Data for a relaxed structure of AcDyRu.

Computed properties:
density = 8.7 g cm⁻³
density of states at the Fermi level = 5.5 states/eV per cell

```
AcDyRu
1.0
6.793 0.000 0.000
0.000 7.083 0.000
-6.135 0.000 7.802
Ac Dy Ru
4 4 4
Cartesian
-1.316 0.534 3.056
-4.384 3.008 6.957
5.042 4.075 0.845
1.974 6.549 4.746
-1.205 4.075 4.755
1.863 6.549 0.854
-1.204 0.534 6.947
1.863 3.008 3.047
0.231 5.209 2.615
-2.837 5.416 6.516
3.495 1.667 1.286
0.428 1.874 5.187
```

***

Entry 2
## AcDyRu (PBE-GGA)

Data for a relaxed structure of AcDyRu.

Computed properties:
density = 8.5 g cm⁻³
density of states at the Fermi level = 1.1 states/eV per cell

```
AcDyRu
1.0
4.199 0.000 0.000
-2.099 3.636 0.000
0.000 0.000 6.270
Ac Dy Ru
1 1 1
Cartesian
0.000 0.000 0.000
0.000 2.424 2.934
2.099 1.212 1.615
```

***

Stability check: which of them is least stable? entry 2.

***

Entry 1
## AcDyRu (PBE-GGA)

Data for a relaxed structure of AcDyRu.

Computed properties:
density = 9.4 g cm⁻³
density of states at the Fermi level = 3.7 states/eV per cell

```
AcDyRu
1.0
3.553 0.000 0.000
0.000 3.553 0.000
0.000 0.000 13.675
Ac Dy Ru
2 2 2
Cartesian
0.000 0.000 0.000
1.776 1.776 6.837
0.000 0.000 3.431
1.776 1.776 10.269
0.000 0.000 8.752
1.776 1.776 1.915
```

***

Entry 2
## AcDyRu (PBE-GGA)

Data for a relaxed structure of AcDyRu.

Computed properties:
density = 9.8 g cm⁻³
density of states at the Fermi level = 3.9 states/eV per cell

```
AcDyRu
1.0
4.799 0.000 0.000
0.000 4.799 0.000
0.000 0.000 7.200
Ac Dy Ru
2 2 2
Cartesian
1.200 1.200 0.890
3.599 3.599 6.310
1.200 3.599 3.600
3.599 1.200 3.600
1.200 1.200 5.264
3.599 3.599 1.936
```

***

Stability check: which of them is least stable? entry 1.

***

Entry 1
## AcDyS2 (PBE-GGA)

Data for a relaxed structure of AcDyS2.

Computed properties:
density = 7.5 g cm⁻³
density of states at the Fermi level = 3.5 states/eV per cell

```
AcDyS2
1.0
4.004 0.000 0.000
-2.002 3.468 0.000
0.000 0.000 21.615
Ac Dy S
3 3 6
Cartesian
0.000 0.000 0.000
0.000 2.312 14.410
2.002 1.156 7.205
0.000 0.000 3.820
0.000 2.312 18.230
2.002 1.156 11.025
0.000 0.000 12.474
0.000 0.000 16.551
0.000 2.312 5.269
0.000 2.312 9.346
2.002 1.156 2.141
2.002 1.156 19.679
```

***

Entry 2
## AcDyS2 (PBE-GGA)

Data for a relaxed structure of AcDyS2.

Computed properties:
density = 7.7 g cm⁻³
density of states at the Fermi level = 4.2 states/eV per cell

```
AcDyS2
1.0
4.024 0.000 0.000
-2.012 3.485 0.000
0.000 0.000 20.929
Ac Dy S
3 3 6
Cartesian
0.000 0.000 0.000
0.000 2.324 13.953
2.012 1.162 6.976
0.000 0.000 10.464
0.000 2.324 3.488
2.012 1.162 17.441
0.000 0.000 5.005
0.000 0.000 15.924
0.000 2.324 8.948
0.000 2.324 18.958
2.012 1.162 1.971
2.012 1.162 11.981
```

***

Stability check: which of them is least stable? entry 1.

***

Entry 1
## Ac3DyS6 (PBE-GGA)

Data for a relaxed structure of Ac3DyS6.

Computed properties:
density = 6.0 g cm⁻³
density of states at the Fermi level = 0.0 states/eV per cell

```
Ac3DyS6
1.0
7.150 0.000 0.000
0.000 7.678 0.000
-6.883 0.000 10.529
Ac Dy S
6 2 12
Cartesian
0.000 0.000 0.000
-3.441 3.839 5.265
-3.132 0.628 7.923
0.309 3.211 2.658
-0.042 4.467 7.871
3.399 7.050 2.606
0.134 0.000 5.265
3.575 3.839 0.000
-0.981 0.483 2.763
-4.422 3.356 8.027
1.439 5.260 0.807
-2.002 6.257 6.072
2.343 1.529 0.811
-1.098 2.310 6.075
1.365 5.368 4.454
-2.076 6.150 9.718
2.269 1.421 4.457
-1.172 2.418 9.722
4.689 4.322 2.502
1.248 7.195 7.767
```

***

Entry 2
## Ac3DyS6 (PBE-GGA)

Data for a relaxed structure of Ac3DyS6.

Computed properties:
density = 5.5 g cm⁻³
density of states at the Fermi level = 0.0 states/eV per cell

```
Ac3DyS6
1.0
6.169 3.562 4.762
-6.169 3.562 4.762
0.000 -7.123 4.762
Ac Dy S
6 2 12
Cartesian
-4.218 -1.181 6.656
-1.086 -4.244 7.631
-3.132 3.062 7.631
3.132 -3.062 6.656
1.086 4.244 6.656
4.218 1.181 7.631
0.000 0.000 0.000
0.000 0.000 7.144
-4.028 -3.889 7.864
-5.382 1.544 6.423
-1.432 -1.918 5.743
1.354 -5.433 6.423
-2.377 0.281 8.544
-0.945 2.199 5.743
0.945 -2.199 8.544
2.377 -0.281 5.743
-1.354 5.433 7.864
1.432 1.918 8.544
5.382 -1.544 7.864
4.028 3.889 6.423
```

***

Stability check: which of them is least stable? entry 1.

***

Entry 1
## AcDyS (PBE-GGA)

Data for a relaxed structure of AcDyS.

Computed properties:
density = 7.3 g cm⁻³
density of states at the Fermi level = 4.2 states/eV per cell

```
AcDyS
1.0
1.993 1.151 13.869
-1.993 1.151 13.869
0.000 -2.302 13.869
Ac Dy S
2 2 2
Cartesian
0.000 0.000 8.786
0.000 0.000 32.822
0.000 0.000 1.704
0.000 0.000 39.904
0.000 0.000 16.981
0.000 0.000 24.627
```

***

Entry 2
## AcDyS (PBE-GGA)

Data for a relaxed structure of AcDyS.

Computed properties:
density = 7.5 g cm⁻³
density of states at the Fermi level = 1.4 states/eV per cell

```
AcDyS
1.0
3.981 0.000 0.000
-1.990 3.448 0.000
0.000 0.000 6.823
Ac Dy S
1 1 1
Cartesian
0.000 0.000 0.000
1.990 1.149 3.329
0.000 2.298 4.841
```

***

Stability check: which of them is least stable? entry 1.

***

Entry 1
## AcDySb2 (PBE-GGA)

Data for a relaxed structure of AcDySb2.

Computed properties:
density = 7.7 g cm⁻³
density of states at the Fermi level = 1.7 states/eV per cell

```
AcDySb2
1.0
4.597 0.000 0.000
-2.298 3.981 0.000
0.000 0.000 22.462
Ac Dy Sb
3 3 6
Cartesian
0.000 0.000 0.000
0.000 2.654 14.975
2.298 1.327 7.487
0.000 0.000 11.231
0.000 2.654 3.744
2.298 1.327 18.718
0.000 0.000 5.440
0.000 0.000 17.023
0.000 2.654 9.535
0.000 2.654 20.414
2.298 1.327 2.048
2.298 1.327 12.927
```

***

Entry 2
## AcDySb2 (PBE-GGA)

Data for a relaxed structure of AcDySb2.

Computed properties:
density = 7.7 g cm⁻³
density of states at the Fermi level = 1.1 states/eV per cell

```
AcDySb2
1.0
4.563 0.000 0.000
-2.281 3.951 0.000
0.000 0.000 15.120
Ac Dy Sb
2 2 4
Cartesian
0.000 2.634 3.780
2.281 1.317 11.340
0.000 0.000 0.000
0.000 0.000 7.560
0.000 2.634 9.253
0.000 2.634 13.427
2.281 1.317 1.693
2.281 1.317 5.867
```

***

Entry 3
## AcDySb2 (PBE-GGA)

Data for a relaxed structure of AcDySb2.

Computed properties:
density = 8.7 g cm⁻³
density of states at the Fermi level = 2.1 states/eV per cell

```
AcDySb2
1.0
4.114 0.000 0.000
0.000 4.114 0.000
0.000 0.000 7.134
Ac Dy Sb
1 1 2
Cartesian
0.000 0.000 0.000
0.000 0.000 3.567
2.057 2.057 1.956
2.057 2.057 5.179
```

***

Stability check: which of them is least stable? entry 3.

***

Entry 1
## AcDySb2 (PBE-GGA)

Data for a relaxed structure of AcDySb2.

Computed properties:
density = 7.5 g cm⁻³
density of states at the Fermi level = 1.1 states/eV per cell

```
AcDySb2
1.0
4.542 0.000 0.000
-2.271 3.933 0.000
0.000 0.000 23.518
Ac Dy Sb
3 3 6
Cartesian
0.000 0.000 0.000
0.000 2.622 15.679
2.271 1.311 7.839
0.000 0.000 19.506
0.000 2.622 11.666
2.271 1.311 3.827
0.000 0.000 9.885
0.000 0.000 13.518
0.000 2.622 2.046
0.000 2.622 5.679
2.271 1.311 17.725
2.271 1.311 21.357
```

***

Entry 2
## AcDySb2 (PBE-GGA)

Data for a relaxed structure of AcDySb2.

Computed properties:
density = 8.5 g cm⁻³
density of states at the Fermi level = 8.8 states/eV per cell

```
AcDySb2
1.0
7.903 0.000 0.000
0.000 7.903 0.000
0.000 0.000 7.903
Ac Dy Sb
4 4 8
Cartesian
0.000 0.000 0.000
0.000 3.952 3.952
3.952 0.000 3.952
3.952 3.952 0.000
0.000 0.000 3.952
0.000 3.952 0.000
3.952 0.000 0.000
3.952 3.952 3.952
1.976 1.976 1.976
1.976 1.976 5.927
1.976 5.927 1.976
1.976 5.927 5.927
5.927 1.976 1.976
5.927 1.976 5.927
5.927 5.927 1.976
5.927 5.927 5.927
```

***

Entry 3
## AcDySb2 (PBE-GGA)

Data for a relaxed structure of AcDySb2.

Computed properties:
density = 8.6 g cm⁻³
density of states at the Fermi level = 2.1 states/eV per cell

```
AcDySb2
1.0
5.883 0.000 0.000
0.000 5.883 0.000
0.000 0.000 3.526
Ac Dy Sb
1 1 2
Cartesian
0.000 0.000 0.000
2.941 2.941 0.000
0.000 2.941 1.763
2.941 0.000 1.763
```

***

Stability check: which of them is least stable? entry 3.

***

Entry 1
## Ac2DySc (PBE-GGA)

Data for a relaxed structure of Ac2DySc.

Computed properties:
density = 7.7 g cm⁻³
density of states at the Fermi level = 5.0 states/eV per cell

```
Ac2DySc
1.0
5.508 0.000 0.000
0.000 5.508 0.000
0.000 0.000 4.708
Ac Dy Sc
2 1 1
Cartesian
0.000 2.754 0.000
2.754 0.000 0.000
0.000 0.000 2.354
2.754 2.754 2.354
```

***

Entry 2
## Ac2DySc (PBE-GGA)

Data for a relaxed structure of Ac2DySc.

Computed properties:
density = 7.7 g cm⁻³
density of states at the Fermi level = 4.9 states/eV per cell

```
Ac2DySc
1.0
3.906 0.000 0.000
0.000 3.906 0.000
0.000 0.000 9.367
Ac Dy Sc
2 1 1
Cartesian
0.000 0.000 2.215
0.000 0.000 7.152
1.953 1.953 4.684
1.953 1.953 0.000
```

***

Stability check: which of them is least stable? entry 1.

***

Entry 1
## Ac2DySc (PBE-GGA)

Data for a relaxed structure of Ac2DySc.

Computed properties:
density = 7.7 g cm⁻³
density of states at the Fermi level = 19.2 states/eV per cell

```
Ac2DySc
1.0
3.747 0.000 0.000
-1.873 3.245 0.000
0.000 0.000 35.306
Ac Dy Sc
6 3 3
Cartesian
0.000 0.000 0.000
0.000 0.000 5.680
0.000 2.163 23.537
0.000 2.163 29.217
1.873 1.082 11.769
1.873 1.082 17.448
0.000 0.000 20.441
0.000 2.163 8.673
1.873 1.082 32.210
0.000 0.000 26.398
0.000 2.163 14.630
1.873 1.082 2.861
```

***

Entry 2
## Ac2DySc (PBE-GGA)

Data for a relaxed structure of Ac2DySc.

Computed properties:
density = 7.5 g cm⁻³
density of states at the Fermi level = 22.0 states/eV per cell

```
Ac2DySc
1.0
3.656 0.000 0.000
-1.828 3.166 0.000
0.000 0.000 38.178
Ac Dy Sc
6 3 3
Cartesian
0.000 0.000 3.291
0.000 0.000 34.887
0.000 2.111 22.161
0.000 2.111 28.742
1.828 1.055 9.435
1.828 1.055 16.017
0.000 0.000 19.089
0.000 2.111 6.363
1.828 1.055 31.815
0.000 0.000 0.000
0.000 2.111 25.452
1.828 1.055 12.726
```

***

Entry 3
## Ac2DySc (PBE-GGA)

Data for a relaxed structure of Ac2DySc.

Computed properties:
density = 7.7 g cm⁻³
density of states at the Fermi level = 26.2 states/eV per cell

```
Ac2DySc
1.0
8.308 0.000 0.000
0.000 8.308 0.000
0.000 0.000 8.308
Ac Dy Sc
8 4 4
Cartesian
2.077 2.077 2.077
2.077 2.077 6.231
2.077 6.231 2.077
2.077 6.231 6.231
6.231 2.077 2.077
6.231 2.077 6.231
6.231 6.231 2.077
6.231 6.231 6.231
0.000 0.000 0.000
0.000 4.154 4.154
4.154 0.000 4.154
4.154 4.154 0.000
0.000 0.000 4.154
0.000 4.154 0.000
4.154 0.000 0.000
4.154 4.154 4.154
```

***

Stability check: which of them is least stable? entry 2.